No. 1
The following is a DFT calculation (GGA-PBE) of crystalline Ac2Pr2Sm5 at its relaxed geometry.

Energy above the most stable polymorph in this dataset   23.9 meV/atom
ΔE_f   0.260 eV/atom

```
data_Ac2Pr2Sm5
_chemical_formula_sum 'Ac4 Pr4 Sm10'
_symmetry_space_group_name_H-M 'C 1 2/m 1'
_symmetry_Int_Tables_number 12
_symmetry_space_group_name_Hall '-C 2y'
_cell_length_a 23.090
_cell_length_b 3.656
_cell_length_c 8.198
_cell_angle_alpha 90.00
_cell_angle_beta 95.73
_cell_angle_gamma 90.00
loop_
_atom_site_label
_atom_site_fract_x
_atom_site_fract_y
_atom_site_fract_z
Ac1 0.054 0.000 0.344
Pr1 0.190 0.500 0.143
Sm1 0.000 0.500 0.000
Sm2 0.099 0.500 0.750
Sm3 0.192 0.000 0.537
```

***

No. 2
The following is a DFT calculation (GGA-PBE) of crystalline TaNi2Br at its relaxed geometry.

Energy above the most stable polymorph in this dataset   49.2 meV/atom

```
data_TaNi2Br
_chemical_formula_sum 'Ta3 Ni6 Br3'
_symmetry_space_group_name_H-M 'R -3 m'
_symmetry_Int_Tables_number 166
_symmetry_space_group_name_Hall '-R 3 2"'
_cell_length_a 3.2649
_cell_length_b 3.2649
_cell_length_c 21.9680
_cell_angle_alpha 90.00
_cell_angle_beta 90.00
_cell_angle_gamma 120.00
loop_
_atom_site_label
_atom_site_fract_x
_atom_site_fract_y
_atom_site_fract_z
Ta1 0.0000 0.0000 0.0000
Ni1 0.0000 0.0000 0.2569
Br1 0.0000 0.0000 0.5000
```